This record from Alexandria describes a relaxed structure of Ca2MoOs. The functional is PBE.

Unit cell a=10.173 b=10.173 c=10.173 alpha=17.13 beta=17.13 gamma=17.13
Site moments in Bohr magnetons follow the coordinates.
Fractional coordinates of all 4 atoms:
Os (0.750, 0.750, 0.750)  0.00
Mo (0.250, 0.250, 0.250)  0.06
Ca (0.495, 0.495, 0.495)  0.00
Ca (0.005, 0.005, 0.005)  0.00

## Properties
Offset from the most stable computed form, eV/atom: 0.652
DFT formation energy, eV/atom: 0.90
Calculated volume, A^3/atom: 19.9
VASP energy, eV per atom: -5.617
Crystal system: trigonal
Space group: No. 166

This record from Alexandria describes a relaxed structure of P2OsPb. The functional is PBE.

Unit cell a=8.803 b=8.803 c=8.803 alpha=160.47 beta=160.08 gamma=28.04
Fractional coordinates of all 4 atoms:
P (0.091, 0.091, 0.000)
P (0.771, 0.271, 0.500)
Os (0.200, 0.700, 0.500)
Pb (0.438, 0.438, 0.000)

## Properties
DFT formation energy, eV/atom: 0.16
Calculated volume, A^3/atom: 19.4
VASP energy, eV per atom: -6.276
Crystal system: orthorhombic
Space group: No. 44

This record from Alexandria describes a relaxed structure of La2AsIr. The functional is PBE.

Unit cell a=5.047 b=5.047 c=5.047 alpha=60.00 beta=60.00 gamma=60.00
Fractional coordinates of all 4 atoms:
Ir (0.750, 0.750, 0.750)
La (0.250, 0.250, 0.250)
La (0.000, 0.000, 0.000)
As (0.500, 0.500, 0.500)

## Properties
DFT formation energy, eV/atom: -0.38
Calculated volume, A^3/atom: 22.7
VASP energy, eV per atom: -6.226
Crystal system: cubic
Space group: No. 216

This record from Alexandria describes a relaxed structure of Be2PtPb. The functional is PBE.

Unit cell a=3.133 b=3.133 c=6.600 alpha=90.00 beta=90.00 gamma=90.43
Fractional coordinates of all 4 atoms:
Be (0.000, 0.000, 0.986)
Be (0.500, 0.500, 0.184)
Pb (0.000, 0.000, 0.473)
Pt (0.500, 0.500, 0.856)

## Properties
DFT formation energy, eV/atom: 0.07
Calculated volume, A^3/atom: 16.2
VASP energy, eV per atom: -4.231
Crystal system: orthorhombic
Space group: No. 35